No. 1
# Ta2PAu

A PBEsol-optimized structure of Ta2PAu (SCAN, the Alexandria database).

Properties
For the energy relative to the elements, the calculation gives -0.347 eV per atom. The calculation puts the mass density at 15.55 g/cm³. The value obtained for the calculated volume is 63.0 Å³/cell.

Unit cell a=3.0064 b=3.0064 c=6.9699 alpha=90.00 beta=90.00 gamma=90.00
Closest atoms and distances in Å follow each position.
Atoms (fractional coordinates):
Ta1 0.0000 0.0000 0.2132  4 P 2.59
Ta2 0.0000 0.0000 0.7869  4 P 2.59
P1 0.5000 0.5000 0.0000  8 Ta 2.59
Au1 0.5000 0.5000 0.5000  8 Ta 2.92, 4 Au 3.01

---

No. 2
# InOs2I

A PBEsol-optimized structure of InOs2I (SCAN, the Alexandria database).

Properties
The energy relative to the elements, uncorrected comes out at 1.334 eV/atom. The calculation puts the mass density at 14.84 g/cm³. The value obtained for the calculated volume is 69.6 Å³/cell.

Unit cell a=4.6174 b=4.6174 c=4.6174 alpha=60.00 beta=60.00 gamma=60.00
Closest atoms and distances in Å follow each position.
Atoms (fractional coordinates):
In1 0.0000 0.0000 0.0000  8 Os 2.83
Os1 0.2500 0.2500 0.2500  4 In 2.83, 4 I 2.83
Os2 0.7500 0.7500 0.7500  4 In 2.83, 4 I 2.83
I1 0.5000 0.5000 0.5000  8 Os 2.83

---

No. 3
# Cd2AgHg

A PBEsol-optimized structure of Cd2AgHg (SCAN, the Alexandria database).

Properties
For the energy relative to the elements, the calculation gives 0.008 eV per atom. The calculation puts the mass density at 11.24 g/cm³. The value obtained for the calculated volume is 78.8 Å³/cell.

Unit cell a=3.6312 b=3.6312 c=5.9764 alpha=90.00 beta=90.00 gamma=90.00
Closest atoms and distances in Å follow each position.
Atoms (fractional coordinates):
Cd1 0.0000 0.0000 0.0000  2 Hg 2.89-3.09, 4 Ag 2.92, 4 Cd 3.01
Cd2 0.5000 0.5000 0.2615  2 Ag 2.95-3.03, 4 Hg 2.99, 4 Cd 3.01
Ag1 0.5000 0.5000 0.7677  6 Cd 2.92-3.03, 4 Hg 2.97
Hg1 0.0000 0.0000 0.5169  6 Cd 2.89-3.09, 4 Ag 2.97

---

No. 4
# BaLiCoTe2

A PBEsol-optimized structure of BaLiCoTe2 (SCAN, the Alexandria database).

Properties
The energy relative to the elements, uncorrected comes out at -0.617 eV/atom. The calculation puts the mass density at 5.95 g/cm³. The value obtained for the calculated volume is 127.9 Å³/cell.

Unit cell a=5.2287 b=5.2287 c=4.6766 alpha=90.00 beta=90.00 gamma=90.00
Closest atoms and distances in Å follow each position.
Atoms (fractional coordinates):
Ba1 0.0000 0.0000 0.0000  8 Te 3.51, 4 Li 3.70
Li1 0.5000 0.5000 0.0000  2 Co 2.34
Co1 0.5000 0.5000 0.5000  2 Li 2.34, 4 Te 2.61
Te1 0.0000 0.5000 0.5000  2 Co 2.61
Te2 0.5000 0.0000 0.5000  2 Co 2.61

---

The records above give, respectively, total magnetic moment values of 0.00 0.00 0.00 1.38 Bohr magnetons per cell.